DFT (GGA+U) results for K2VIO6 after structural relaxation.

## Properties
Total energy ... -53.2 eV/cell
Total magnetization ... 0.00 μB per atom

Lattice parameters (Å, degrees): 5.689 5.689 5.689 60.00 60.00 60.00
Sites, in units of the cell vectors:
K 0.250 0.250 0.250
K 0.750 0.750 0.750
V 0.000 0.000 0.000
I 0.500 0.500 0.500
O 0.239 0.239 0.761
O 0.239 0.761 0.239
O 0.239 0.761 0.761
O 0.761 0.239 0.239
O 0.761 0.239 0.761
O 0.761 0.761 0.239